# Pm2Pd2Rh

Pm2Pd2Rh after structural relaxation (PBE, the Alexandria database).

abc: 3.7956 3.9833 14.5709
angles: 90.00 90.00 90.00
With the nearest neighbours (Å) after each atom.
Space group Amm2 (No. 38)
One atom of each set of equivalent atoms:
Pm 0.0000 0.0000 0.0000 [2 per cell]  4 Rh 2.87, 2 Pd 3.21
Pm 0.0000 0.0000 0.2496 [2 per cell]  8 Pd 2.95-3.24
Pd 0.5000 0.0000 0.6317 [2 per cell]  1 Rh 2.74, 1 Pd 2.78
Pd 0.5000 0.0000 0.8223 [2 per cell]  2 Rh 2.67, 1 Pd 2.78, 4 Pm 2.95
Rh 0.5000 0.0000 0.4440 [2 per cell]  3 Pd 2.67-2.74, 4 Pm 2.87

E_tot = -6.16 eV per atom
Relative energy among the computed polymorphs = 0.00 eV per formula unit



# Na2CdAs2

Na2CdAs2 after structural relaxation (PBE, the Alexandria database).

abc: 8.9750 8.9750 2.8383
angles: 90.00 90.00 90.00
With the nearest neighbours (Å) after each atom.
Space group P4/mbm (No. 127)
One atom of each set of equivalent atoms:
Na 0.1237 0.3763 0.0000 [4 per cell]  3 Na 2.84-3.14, 6 As 2.93-3.06
Cd 0.0000 0.0000 0.0000 [2 per cell]  2 Cd 2.84
As 0.1746 0.6746 0.5000 [4 per cell]  2 As 2.84, 6 Na 2.93-3.06

E_tot = -2.63 eV per atom
Relative energy among the computed polymorphs = 1.35 eV per formula unit



# La2ErGe3Ir4

La2ErGe3Ir4 after structural relaxation (PBE, the Alexandria database).

abc: 4.2305 4.2305 11.2529
angles: 90.00 90.00 90.00
With the nearest neighbours (Å) after each atom.
Space group P-4m2 (No. 115)
One atom of each set of equivalent atoms:
La 0.0000 0.5000 0.2344 [2 per cell]  8 Ir 3.23-3.38, 4 Ge 3.25
Er 0.0000 0.0000 0.5000 [1 per cell]  4 Ir 2.76, 4 Ge 2.99
Ge 0.0000 0.5000 0.8793 [2 per cell]  5 Ir 2.50-2.51
Ge 0.5000 0.5000 0.5000 [1 per cell]  4 Ir 2.76, 4 Er 2.99
Ir 0.0000 0.0000 0.0000 [1 per cell]  4 Ge 2.51
Ir 0.0000 0.5000 0.6575 [2 per cell]  3 Ge 2.50-2.76, 2 Er 2.76
Ir 0.5000 0.5000 0.0000 [1 per cell]  4 Ge 2.51

E_tot = -7.20 eV per atom



# TbHo7Er2

TbHo7Er2 after structural relaxation (PBE, the Alexandria database).

abc: 8.6565 16.6973 5.2729
angles: 90.00 90.00 90.00
With the nearest neighbours (Å) after each atom.
Space group Cmmm (No. 65)
One atom of each set of equivalent atoms:
Tb 0.0000 0.0000 0.0000 [2 per cell]  10 Ho 3.35-3.57
Ho 0.0000 0.2009 0.0000 [4 per cell]  2 Er 3.10, 1 Tb 3.35, 4 Ho 3.40
Ho 0.0000 0.5000 0.5000 [2 per cell]  4 Ho 3.35, 2 Er 3.37
Ho 0.1782 0.1112 0.5000 [8 per cell]  4 Ho 3.09-3.40, 1 Er 3.17
Er 0.0000 0.2983 0.5000 [4 per cell]  5 Ho 3.10-3.37

E_tot = -3.87 eV per atom
Relative energy among the computed polymorphs = 6.85 eV per formula unit